[1]
MnNbRuC2 | the Alexandria database | GGA-PBE | optimized geometry; volume = 82 Å³/cell; theoretical density = 5.5 g/cm3; magnetic moment = 5.67 μB per cell; energy relative to the elements = 208.3 kJ/mol of atoms; total energy = -7.2338 eV per atom; D(E_F) = 3.801 states/eV/cell
1.0
4.078 0.000 0.000
0.000 4.078 0.000
0.000 0.000 4.954
Mn Nb Ru C
1 1 1 2
direct
0.000 0.000 0.000 Mn
0.000 0.000 0.500 Nb
0.500 0.500 0.000 Ru
0.000 0.500 0.500 C
0.500 0.000 0.500 C

***

[2]
MnNb4C2S4 | the Alexandria database | GGA-PBE | optimized geometry; volume = 170 Å³/cell; theoretical density = 5.7 g/cm3; magnetic moment = 4.36 μB per cell; total energy = -8.4941 eV per atom; D(E_F) = 3.102 states/eV/cell
1.0
5.776 0.000 0.000
0.000 3.348 0.000
-1.807 0.000 8.784
Mn Nb C S
1 4 2 4
direct
0.000 0.000 0.000 Mn
0.119 0.000 0.370 Nb
0.368 0.500 0.630 Nb
0.632 0.500 0.370 Nb
0.881 0.000 0.630 Nb
0.000 0.500 0.500 C
0.500 0.000 0.500 C
0.233 0.500 0.176 S
0.272 0.000 0.822 S
0.728 0.000 0.178 S
0.767 0.500 0.824 S

***

[3]
MnNbSbC2 | the Alexandria database | GGA-PBE | optimized geometry; volume = 86 Å³/cell; theoretical density = 5.7 g/cm3; magnetic moment = 0.23 μB per cell; total energy = -6.5147 eV per atom; D(E_F) = 6.001 states/eV/cell
1.0
4.140 0.000 0.000
0.000 4.140 0.000
0.000 0.000 5.005
Mn Nb Sb C
1 1 1 2
direct
0.000 0.000 0.000 Mn
0.000 0.000 0.500 Nb
0.500 0.500 0.000 Sb
0.000 0.500 0.500 C
0.500 0.000 0.500 C

***

volume of number 1 (MnNbRuC2)?
82 Å³/cell

***

Which value of magnetic moment does entry 1 give?
5.67 μB per cell